(1)
Sm2Sn5Ir3: optimized geometry, GGA-PBE.

Cell and atoms, written as CIF:
```
data_Sm2Sn5Ir3
_cell_length_a 4.475
_cell_length_b 26.695
_cell_length_c 7.326
_cell_angle_alpha 90.00
_cell_angle_beta 90.00
_cell_angle_gamma 90.00
_symmetry_space_group_name_H-M 'C m c 21'
_symmetry_Int_Tables_number 36
loop_
_symmetry_equiv_pos_as_xyz
'x,y,z'
'-x,-y,z+1/2'
'-x,y,z'
'x,-y,z+1/2'
'x+1/2,y+1/2,z'
'-x+1/2,-y+1/2,z+1/2'
'-x+1/2,y+1/2,z'
'x+1/2,-y+1/2,z+1/2'
loop_
_atom_site_label
_atom_site_fract_x
_atom_site_fract_y
_atom_site_fract_z
Sm1 0.000 0.023 0.000
Sm2 0.000 0.328 0.025
Sn1 0.000 0.097 0.373
Sn2 0.000 0.205 0.817
Sn3 0.000 0.209 0.244
Sn4 0.000 0.379 0.496
Sn5 0.000 0.452 0.163
Ir1 0.000 0.106 0.745
Ir2 0.000 0.277 0.531
Ir3 0.000 0.450 0.781
```

Energy of formation ... -0.63 eV per atom
Crystal system ... orthorhombic
Uncorrected energy ... -249.46 eV for the cell shown

(2)
Ti3CuTe: optimized geometry, GGA-PBE.

Cell and atoms, written as CIF:
```
data_Ti3CuTe
_cell_length_a 4.632
_cell_length_b 4.632
_cell_length_c 4.632
_cell_angle_alpha 90.00
_cell_angle_beta 90.00
_cell_angle_gamma 90.00
_symmetry_space_group_name_H-M 'P m -3 m'
_symmetry_Int_Tables_number 221
_symmetry_space_group_name_Hall '-P 4 2 3'
loop_
_atom_site_label
_atom_site_fract_x
_atom_site_fract_y
_atom_site_fract_z
Ti1 0.000 0.000 0.500
Cu1 0.000 0.000 0.000
Te1 0.500 0.500 0.500
```

ΔE to the lowest computed polymorph ... 0.0 meV per atom
E_form (uncorrected) ... 316 meV/atom
Crystal system ... cubic
Uncorrected energy ... -29.34 eV for the cell shown

(3)
Na2YAlSe4: optimized geometry, GGA-PBE.

Cell and atoms, written as CIF:
```
data_Na2YAlSe4
_cell_length_a 7.901
_cell_length_b 8.329
_cell_length_c 11.551
_cell_angle_alpha 90.00
_cell_angle_beta 90.00
_cell_angle_gamma 90.00
_symmetry_space_group_name_H-M 'I m m a'
_symmetry_Int_Tables_number 74
_symmetry_space_group_name_Hall '-I 2b 2'
loop_
_atom_site_label
_atom_site_fract_x
_atom_site_fract_y
_atom_site_fract_z
Na1 0.000 0.000 0.000
Na2 0.250 0.250 0.250
Y1 0.000 0.000 0.500
Al1 0.250 0.250 0.750
Se1 0.000 0.037 0.749
Se2 0.246 0.250 0.516
```

E_form (uncorrected) ... -1291 meV/atom
Crystal system ... orthorhombic
Uncorrected energy ... -148.43 eV for the cell shown

(4)
LaIrW2: optimized geometry, GGA-PBE.

Cell and atoms, written as CIF:
```
data_LaIrW2
_cell_length_a 3.379
_cell_length_b 3.379
_cell_length_c 7.246
_cell_angle_alpha 90.00
_cell_angle_beta 90.00
_cell_angle_gamma 90.00
_symmetry_space_group_name_H-M 'P 4/m m m'
_symmetry_Int_Tables_number 123
_symmetry_space_group_name_Hall '-P 4 2'
loop_
_atom_site_label
_atom_site_fract_x
_atom_site_fract_y
_atom_site_fract_z
La1 0.000 0.000 0.000
Ir1 0.000 0.000 0.500
W1 0.500 0.500 0.330
```

ΔE to the lowest computed polymorph ... 264.3 meV per atom
Energy of formation ... 0.48 eV per atom
Crystal system ... tetragonal
Uncorrected energy ... -37.78 eV for the cell shown